1.
Computed, not measured: crystalline Cs2ScAu2 at its relaxed geometry at the PBE level of DFT.

Values from the calculation:
Crystal system   tetragonal
Energy of formation from the pure elements   -0.0273 eV/atom
Theoretical density   6.79 g/cm³

Unit cell a=7.531 b=7.531 c=6.075 alpha=90.00 beta=90.00 gamma=90.00
Sites, in units of the cell vectors:
Cs  0.826  0.326  0.500
Au  0.862  0.638  0.000
Sc  0.500  0.500  0.000
Cs  0.174  0.674  0.500
Cs  0.674  0.826  0.500
Au  0.638  0.138  0.000
Au  0.362  0.862  0.000
Cs  0.326  0.174  0.500
Sc  0.000  0.000  0.000
Au  0.138  0.362  0.000

=====

2.
Computed, not measured: crystalline CsScAu3 at its relaxed geometry at the PBE level of DFT.

Values from the calculation:
Crystal system   cubic
Excess energy over the best structure of this formula in the dataset   1372 meV/atom
Energy of formation from the pure elements   1.2192 eV/atom
Theoretical density   6.21 g/cm³

Unit cell a=5.901 b=5.901 c=5.901 alpha=90.00 beta=90.00 gamma=90.00
Last column: magnetic moment on the atom in μB.
Sites, in units of the cell vectors:
Au  0.000  0.000  0.500  -0.04
Au  0.000  0.500  0.000  -0.03
Cs  0.000  0.000  0.000  -0.02
Au  0.500  0.000  0.000  -0.03
Sc  0.500  0.500  0.500  0.81

=====

3.
Computed, not measured: crystalline CsScAu3 at its relaxed geometry at the PBE level of DFT.

Values from the calculation:
Crystal system   cubic
Excess energy over the best structure of this formula in the dataset   0 meV/atom
Energy of formation from the pure elements   -0.1524 eV/atom
Theoretical density   7.95 g/cm³

Unit cell a=5.435 b=5.435 c=5.435 alpha=90.00 beta=90.00 gamma=90.00
Sites, in units of the cell vectors:
Au  0.000  0.500  0.000
Au  0.500  0.000  0.000
Au  0.000  0.000  0.500
Sc  0.000  0.000  0.000
Cs  0.500  0.500  0.500

=====

4.
Computed, not measured: crystalline CsSc3Au at its relaxed geometry at the PBE level of DFT.

Values from the calculation:
Crystal system   cubic
Excess energy over the best structure of this formula in the dataset   1157 meV/atom
Energy of formation from the pure elements   1.3881 eV/atom
Theoretical density   5.55 g/cm³

Unit cell a=5.181 b=5.181 c=5.181 alpha=90.00 beta=90.00 gamma=90.00
Sites, in units of the cell vectors:
Au  0.500  0.500  0.500
Sc  0.000  0.500  0.000
Sc  0.000  0.000  0.500
Sc  0.500  0.000  0.000
Cs  0.000  0.000  0.000

=====

5.
Computed, not measured: crystalline CsSc3Au at its relaxed geometry at the PBE level of DFT.

Values from the calculation:
Crystal system   cubic
Excess energy over the best structure of this formula in the dataset   0 meV/atom
Energy of formation from the pure elements   0.2314 eV/atom
Theoretical density   4.84 g/cm³

Unit cell a=5.422 b=5.422 c=5.422 alpha=90.00 beta=90.00 gamma=90.00
Sites, in units of the cell vectors:
Sc  0.000  0.500  0.000
Sc  0.000  0.000  0.500
Au  0.000  0.000  0.000
Sc  0.500  0.000  0.000
Cs  0.500  0.500  0.500

=====

6.
Computed, not measured: crystalline CsScAuSe2 at its relaxed geometry at the PBE level of DFT.

Values from the calculation:
Crystal system   monoclinic
ΔE_f (raw)   -1041.2 meV/atom
Theoretical density   5.81 g/cm³

Unit cell a=5.687 b=8.625 c=6.786 alpha=113.76 beta=90.00 gamma=90.00
Sites, in units of the cell vectors:
Au  0.000  0.000  0.500
Sc  0.501  0.000  0.250
Se  0.312  0.223  0.115
Se  0.688  0.223  0.615
Au  0.000  0.000  0.000
Se  0.312  0.777  0.385
Cs  0.794  0.500  0.250
Cs  0.206  0.500  0.750
Se  0.688  0.777  0.885
Sc  0.499  0.000  0.750